[1]
Compound: Cs4H2Br
Source: Alexandria
Functional: PBE
Structure: optimized geometry

```
Cs4H2Br
1.0
-3.414 3.414 8.383
3.414 -3.414 8.383
3.414 3.414 -8.383
Cs H Br
4 2 1
direct
0.000 0.500 0.500
0.230 0.230 0.000
0.500 0.000 0.500
0.770 0.770 0.000
0.398 0.398 0.000
0.602 0.602 0.000
0.000 0.000 0.000
```

Output
Crystal system: tetragonal
Relative energy among the computed polymorphs: 173 meV/atom
Density of states at the Fermi level: 2.7 states/eV/f.u.

=====

[2]
Compound: MnIn2W
Source: Alexandria
Functional: PBE
Structure: optimized geometry

```
MnIn2W
1.0
0.000 3.258 3.258
3.258 0.000 3.258
3.258 3.258 0.000
Mn In W
1 2 1
direct
0.000 0.000 0.000
0.250 0.250 0.250
0.750 0.750 0.750
0.500 0.500 0.500
```

Output
Crystal system: cubic
Relative energy among the computed polymorphs: 550 meV/atom
Density of states at the Fermi level: 8.5 states/eV/f.u.

=====

[3]
Compound: Sr2BrO
Source: Alexandria
Functional: PBE
Structure: optimized geometry

```
Sr2BrO
1.0
1.951 1.126 7.412
-1.951 1.126 7.412
0.000 -2.253 7.412
Sr Br O
2 1 1
direct
0.229 0.229 0.229
0.771 0.771 0.771
0.000 0.000 0.000
0.500 0.500 0.500
```

Output
Crystal system: trigonal
Relative energy among the computed polymorphs: 25 meV/atom
E_form (uncorrected): -1.9510 eV/atom
Density of states at the Fermi level: 1.5 states/eV/f.u.

=====

[4]
Compound: ErZrZnIn
Source: Alexandria
Functional: PBE
Structure: optimized geometry

```
ErZrZnIn
1.0
0.000 3.536 3.536
3.536 0.000 3.536
3.536 3.536 0.000
Er Zr Zn In
1 1 1 1
direct
0.000 0.000 0.000
0.500 0.500 0.500
0.250 0.250 0.250
0.750 0.750 0.750
```

Output
Crystal system: cubic
Final energy: -4.550 eV per atom
Density of states at the Fermi level: 1.4 states/eV/f.u.

=====

[5]
Compound: BaAgC2O6
Source: Alexandria
Functional: PBE
Structure: optimized geometry

```
BaAgC2O6
1.0
4.451 -4.828 0.000
4.451 4.828 0.000
-1.137 0.000 7.324
Ba Ag C O
2 2 4 12
direct
0.132 0.868 0.750
0.868 0.132 0.250
0.430 0.570 0.250
0.570 0.430 0.750
0.053 0.381 0.715
0.381 0.053 0.215
0.619 0.947 0.785
0.947 0.619 0.285
0.022 0.214 0.609
0.095 0.508 0.238
0.214 0.022 0.109
0.236 0.466 0.785
0.466 0.236 0.285
0.492 0.905 0.262
0.508 0.095 0.738
0.534 0.764 0.715
0.764 0.534 0.215
0.786 0.978 0.891
0.905 0.492 0.762
0.978 0.786 0.391
```

Output
Crystal system: monoclinic
E_form (uncorrected): -1.5188 eV/atom
Density of states at the Fermi level: 2.2 states/eV/f.u.

=====

[6]
Compound: Nd2ScCd
Source: Alexandria
Functional: PBE
Structure: optimized geometry

```
Nd2ScCd
1.0
0.000 3.865 3.865
3.865 0.000 3.865
3.865 3.865 0.000
Nd Sc Cd
2 1 1
direct
0.250 0.250 0.250
0.750 0.750 0.750
0.000 0.000 0.000
0.500 0.500 0.500
```

Output
Crystal system: cubic
Relative energy among the computed polymorphs: 50 meV/atom
Density of states at the Fermi level: 5.2 states/eV/f.u.

=====

[7]
Compound: CeBeOsC
Source: Alexandria
Functional: PBE
Structure: optimized geometry

```
CeBeOsC
1.0
3.673 0.000 0.000
0.000 3.673 0.000
0.000 0.000 8.679
Ce Be Os C
2 2 2 2
direct
0.250 0.250 0.156
0.750 0.750 0.844
0.250 0.250 0.679
0.750 0.750 0.321
0.250 0.750 0.500
0.750 0.250 0.500
0.250 0.250 0.877
0.750 0.750 0.123
```

Output
Crystal system: tetragonal
Final energy: -7.644 eV per atom
Density of states at the Fermi level: 2.2 states/eV/f.u.

=====

[8]
Compound: KV3Te
Source: Alexandria
Functional: PBE
Structure: optimized geometry

```
KV3Te
1.0
5.338 0.000 0.000
0.000 5.338 0.000
0.000 0.000 5.338
K V Te
1 3 1
direct
0.000 0.000 0.000
0.000 0.500 0.500
0.500 0.000 0.500
0.500 0.500 0.000
0.500 0.500 0.500
```

Output
Crystal system: cubic
E_form (uncorrected): 1.2160 eV/atom
Density of states at the Fermi level: 5.5 states/eV/f.u.

=====

[9]
Compound: PmPaPd2O8
Source: Alexandria
Functional: PBE
Structure: optimized geometry

```
PmPaPd2O8
1.0
-2.762 2.762 5.270
2.762 -2.762 5.270
2.762 2.762 -5.270
Pm Pa Pd O
1 1 2 8
direct
0.000 0.000 0.000
0.750 0.250 0.500
0.250 0.750 0.500
0.500 0.500 0.000
0.039 0.013 0.643
0.130 0.325 0.560
0.370 0.396 0.357
0.430 0.870 0.195
0.604 0.961 0.974
0.675 0.235 0.805
0.765 0.570 0.440
0.987 0.630 0.026
```

Output
Crystal system: tetragonal
E_form (uncorrected): -1.6386 eV/atom
Density of states at the Fermi level: 11.6 states/eV/f.u.

=====

[10]
Compound: NaFe2IrI
Source: Alexandria
Functional: PBE
Structure: optimized geometry

```
NaFe2IrI
1.0
4.586 0.000 0.000
0.000 4.586 0.000
0.000 0.000 4.835
Na Fe Ir I
1 2 1 1
direct
0.000 0.000 0.000
0.000 0.500 0.000
0.500 0.000 0.000
0.000 0.000 0.500
0.500 0.500 0.500
```

Output
Crystal system: tetragonal
E_form (uncorrected): 1.9353 eV/atom
Density of states at the Fermi level: 5.7 states/eV/f.u.

=====

[11]
Compound: YErNiSn
Source: Alexandria
Functional: PBE
Structure: optimized geometry

```
YErNiSn
1.0
0.000 3.589 3.589
3.589 0.000 3.589
3.589 3.589 0.000
Y Er Ni Sn
1 1 1 1
direct
0.000 0.000 0.000
0.500 0.500 0.500
0.750 0.750 0.750
0.250 0.250 0.250
```

Output
Crystal system: cubic
Final energy: -5.659 eV per atom
Density of states at the Fermi level: 1.5 states/eV/f.u.

=====

[12]
Compound: MgTiCrBr2
Source: Alexandria
Functional: PBE
Structure: optimized geometry

```
MgTiCrBr2
1.0
5.043 0.000 0.000
0.000 5.043 0.000
0.000 0.000 4.857
Mg Ti Cr Br
1 1 1 2
direct
0.000 0.000 0.000
0.500 0.500 0.000
0.500 0.500 0.500
0.000 0.500 0.500
0.500 0.000 0.500
```

Output
Crystal system: tetragonal
E_form (uncorrected): 0.4007 eV/atom
Density of states at the Fermi level: 4.2 states/eV/f.u.

=====

[13]
Compound: NdSm6Dy2Th3
Source: Alexandria
Functional: PBE
Structure: optimized geometry

```
NdSm6Dy2Th3
1.0
3.124 -5.405 0.000
3.124 5.405 0.000
-2.085 0.000 11.777
Nd Sm Dy Th
1 6 2 3
direct
0.000 0.000 0.000
0.085 0.419 0.255
0.249 0.249 0.745
0.419 0.085 0.255
0.581 0.915 0.745
0.751 0.751 0.255
0.915 0.581 0.745
0.333 0.667 0.000
0.667 0.333 0.000
0.167 0.833 0.500
0.500 0.500 0.500
0.833 0.167 0.500
```

Output
Crystal system: monoclinic
Final energy: -5.348 eV per atom
Density of states at the Fermi level: 18.8 states/eV/f.u.

=====

[14]
Compound: DyPuTe6
Source: Alexandria
Functional: PBE
Structure: optimized geometry

```
DyPuTe6
1.0
4.354 0.000 0.000
0.000 2.176 13.373
0.000 -2.176 13.373
Dy Pu Te
1 1 6
direct
0.000 0.000 0.000
0.500 0.656 0.656
0.000 0.122 0.122
0.000 0.407 0.407
0.000 0.748 0.748
0.500 0.248 0.248
0.500 0.535 0.535
0.500 0.907 0.907
```

Output
Crystal system: orthorhombic
E_form (uncorrected): -0.8094 eV/atom
Density of states at the Fermi level: 12.9 states/eV/f.u.

=====

[15]
Compound: Ho4RuI2
Source: Alexandria
Functional: PBE
Structure: optimized geometry

```
Ho4RuI2
1.0
6.338 0.000 0.000
0.000 4.089 0.000
-3.014 0.000 10.837
Ho Ru I
4 1 2
direct
0.212 0.000 0.134
0.267 0.500 0.873
0.733 0.500 0.127
0.788 0.000 0.866
0.500 0.000 0.000
0.178 0.500 0.347
0.822 0.500 0.653
```

Output
Crystal system: monoclinic
E_form (uncorrected): -0.5968 eV/atom
Density of states at the Fermi level: 3.2 states/eV/f.u.

=====

[16]
Compound: SrZnMo3
Source: Alexandria
Functional: PBE
Structure: optimized geometry

```
SrZnMo3
1.0
4.783 0.000 0.000
0.000 4.783 0.000
0.000 0.000 4.783
Sr Zn Mo
1 1 3
direct
0.000 0.000 0.000
0.500 0.500 0.500
0.000 0.500 0.500
0.500 0.000 0.500
0.500 0.500 0.000
```

Output
Crystal system: cubic
Relative energy among the computed polymorphs: 0 meV/atom
Density of states at the Fermi level: 7.8 states/eV/f.u.

=====

[17]
Compound: SrSmY2
Source: Alexandria
Functional: PBE
Structure: optimized geometry

```
SrSmY2
1.0
5.257 0.000 0.000
0.000 5.257 0.000
0.000 0.000 5.216
Sr Sm Y
1 1 2
direct
0.000 0.000 0.000
0.500 0.500 0.000
0.000 0.500 0.500
0.500 0.000 0.500
```

Output
Crystal system: tetragonal
Relative energy among the computed polymorphs: 80 meV/atom
Density of states at the Fermi level: 7.2 states/eV/f.u.

=====

[18]
Compound: Pm2TaNi3As4
Source: Alexandria
Functional: PBE
Structure: optimized geometry

```
Pm2TaNi3As4
1.0
4.181 0.000 0.000
0.000 4.181 0.000
0.000 0.000 10.134
Pm Ta Ni As
2 1 3 4
direct
0.000 0.500 0.230
0.500 0.000 0.770
0.000 0.000 0.500
0.000 0.500 0.885
0.500 0.000 0.115
0.500 0.500 0.500
0.000 0.000 0.000
0.000 0.500 0.649
0.500 0.000 0.351
0.500 0.500 0.000
```

Output
Crystal system: tetragonal
Final energy: -6.450 eV per atom
Density of states at the Fermi level: 5.4 states/eV/f.u.

=====

[19]
Compound: Tb2Nd3Dy6
Source: Alexandria
Functional: PBE
Structure: optimized geometry

```
Tb2Nd3Dy6
1.0
-2.384 2.384 16.638
2.384 -2.384 16.638
2.384 2.384 -16.638
Tb Nd Dy
2 3 6
direct
0.046 0.046 0.000
0.954 0.954 0.000
0.297 0.297 0.000
0.500 0.500 0.000
0.703 0.703 0.000
0.120 0.620 0.500
0.193 0.193 0.000
0.380 0.880 0.500
0.620 0.120 0.500
0.807 0.807 0.000
0.880 0.380 0.500
```

Output
Crystal system: tetragonal
Relative energy among the computed polymorphs: 114 meV/atom
Density of states at the Fermi level: 16.1 states/eV/f.u.

=====

[20]
Compound: Zn2InSe
Source: Alexandria
Functional: PBE
Structure: optimized geometry

```
Zn2InSe
1.0
3.980 -1.954 0.000
3.980 1.954 0.000
-3.028 0.000 5.835
Zn In Se
2 1 1
direct
0.000 0.000 0.000
0.744 0.744 0.147
0.537 0.537 0.411
0.371 0.371 0.720
```

Output
Crystal system: monoclinic
Relative energy among the computed polymorphs: 42 meV/atom
E_form (uncorrected): -0.0789 eV/atom
Density of states at the Fermi level: 0.9 states/eV/f.u.